# GdPdRh2

A relaxed structure of GdPdRh2 (PBE, Alexandria via LeMat-Bulk).

Structure (CIF):
```
data_GdPdRh2
_chemical_formula_sum 'Gd1 Pd1 Rh2'
_symmetry_space_group_name_H-M 'P 1'
_symmetry_Int_Tables_number 1
_cell_length_a 4.0500
_cell_length_b 4.1152
_cell_length_c 4.1152
_cell_angle_alpha 90.00
_cell_angle_beta 90.00
_cell_angle_gamma 90.00
loop_
_symmetry_equiv_pos_as_xyz
'x,y,z'
loop_
_atom_site_label
_atom_site_type_symbol
_atom_site_fract_x
_atom_site_fract_y
_atom_site_fract_z
Gd1 Gd 0.5000 0.5000 0.5000
Rh1 Rh 0.0000 0.0000 0.5000
Rh2 Rh 0.0000 0.5000 0.0000
Pd1 Pd 0.5000 0.0000 0.0000
```

Output
- Space group: No. 123
- Calculated volume: 68.6 Å³ per cell
- ρ: 11.37 g/cm3
- DFT formation energy: -0.53 eV/atom
- Fermi-level density of states: 4.2 states/eV/cell

=====

# Gd2PdRh

A relaxed structure of Gd2PdRh (PBE, Alexandria via LeMat-Bulk).

Structure (CIF):
```
data_Gd2PdRh
_chemical_formula_sum 'Gd2 Pd1 Rh1'
_symmetry_space_group_name_H-M 'P 1'
_symmetry_Int_Tables_number 1
_cell_length_a 4.9546
_cell_length_b 4.9546
_cell_length_c 4.9546
_cell_angle_alpha 60.00
_cell_angle_beta 60.00
_cell_angle_gamma 60.00
loop_
_symmetry_equiv_pos_as_xyz
'x,y,z'
loop_
_atom_site_label
_atom_site_type_symbol
_atom_site_fract_x
_atom_site_fract_y
_atom_site_fract_z
Pd1 Pd 0.7500 0.7500 0.7500
Gd1 Gd 0.0000 0.0000 0.0000
Gd2 Gd 0.5000 0.5000 0.5000
Rh1 Rh 0.2500 0.2500 0.2500
```

Output
- Space group: No. 225
- Calculated volume: 86.0 Å³ per cell
- ρ: 10.11 g/cm3
- DFT formation energy: -0.81 eV/atom
- Fermi-level density of states: 3.2 states/eV/cell